Record 1
A plane-wave DFT calculation with PBE was carried out for crystalline PrSbF at its relaxed geometry.

Summary:
Total DFT energy (no corrections) in eV per cell: -17.07

```
data_PrSbF
_chemical_formula_sum 'Pr1 Sb1 F1'
_space_group_name_H-M_alt 'P -6 m 2'
_space_group_IT_number 187
_space_group_name_Hall 'P -6 2'
_cell_length_a 4.1372
_cell_length_b 4.1372
_cell_length_c 4.9069
_cell_angle_alpha 90.00
_cell_angle_beta 90.00
_cell_angle_gamma 120.00
loop_
_atom_site_label
_atom_site_fract_x
_atom_site_fract_y
_atom_site_fract_z
Pr1 0.0000 0.0000 0.0000
Sb1 0.6667 0.3333 0.5000
F1 0.3333 0.6667 0.0000
```

***

Record 2
A plane-wave DFT calculation with PBE was carried out for crystalline RbNbN2 at its relaxed geometry.

Summary:
Total DFT energy (no corrections) in eV per cell: -87.82

```
data_RbNbN2
_chemical_formula_sum 'Rb4 Nb4 N8'
_space_group_name_H-M_alt 'F m -3 m'
_space_group_IT_number 225
_space_group_name_Hall '-F 4 2 3'
_cell_length_a 5.9617
_cell_length_b 5.9617
_cell_length_c 5.9617
_cell_angle_alpha 90.00
_cell_angle_beta 90.00
_cell_angle_gamma 90.00
loop_
_atom_site_label
_atom_site_fract_x
_atom_site_fract_y
_atom_site_fract_z
Rb1 0.0000 0.0000 0.0000
Nb1 0.0000 0.0000 0.5000
N1 0.2500 0.2500 0.2500
```

***

Record 3
A plane-wave DFT calculation with PBE was carried out for crystalline Ni8Pd6W at its relaxed geometry.

Summary:
Formation energy in eV per atom: 0.214
Total DFT energy (no corrections) in eV per cell: -87.15

```
data_Ni8Pd6W
_chemical_formula_sum 'Ni8 Pd6 W1'
_space_group_name_H-M_alt 'P -3'
_space_group_IT_number 147
_cell_length_a 6.8658
_cell_length_b 6.8658
_cell_length_c 5.2323
_cell_angle_alpha 90.00
_cell_angle_beta 90.00
_cell_angle_gamma 120.00
loop_
_space_group_symop_operation_xyz
'x,y,z'
'-x,-y,-z'
'-y,x-y,z'
'y,-x+y,-z'
'-x+y,-x,z'
'x-y,x,-z'
loop_
_atom_site_label
_atom_site_fract_x
_atom_site_fract_y
_atom_site_fract_z
Ni1 0.0354 0.6733 0.1290
Ni2 0.3333 0.6667 0.8902
Pd1 0.0269 0.6918 0.6399
W1 0.0000 0.0000 0.0000
```

***

Record 4
A plane-wave DFT calculation with PBE was carried out for crystalline Nd2AgF8 at its relaxed geometry.

Summary:
Total DFT energy (no corrections) in eV per cell: -125.91

```
data_Nd2AgF8
_chemical_formula_sum 'Nd4 Ag2 F16'
_space_group_name_H-M_alt 'C 1 m 1'
_space_group_IT_number 8
_cell_length_a 7.5150
_cell_length_b 11.2937
_cell_length_c 4.3954
_cell_angle_alpha 90.00
_cell_angle_beta 102.09
_cell_angle_gamma 90.00
loop_
_space_group_symop_operation_xyz
'x,y,z'
'x,-y,z'
'x+1/2,y+1/2,z'
'x+1/2,-y+1/2,z'
loop_
_atom_site_label
_atom_site_fract_x
_atom_site_fract_y
_atom_site_fract_z
Nd1 0.0000 0.1688 0.0000
Ag1 0.0000 0.5000 0.9991
F1 0.1201 0.0000 0.2672
F2 0.1856 0.3558 0.0625
F3 0.3141 0.1441 0.9363
F4 0.3796 0.5000 0.7332
F5 0.4993 0.2685 0.4997
```

***

Record 5
A plane-wave DFT calculation with PBE was carried out for crystalline Dy2ErTm7 at its relaxed geometry.

Summary:
Formation energy in eV per atom: 0.711
Total DFT energy (no corrections) in eV per cell: -75.91

```
data_Dy2ErTm7
_chemical_formula_sum 'Dy4 Er2 Tm14'
_space_group_name_H-M_alt 'C m m m'
_space_group_IT_number 65
_space_group_name_Hall '-C 2 2'
_cell_length_a 8.5789
_cell_length_b 17.0804
_cell_length_c 5.0715
_cell_angle_alpha 90.00
_cell_angle_beta 90.00
_cell_angle_gamma 90.00
loop_
_atom_site_label
_atom_site_fract_x
_atom_site_fract_y
_atom_site_fract_z
Dy1 0.0000 0.2012 0.0000
Er1 0.0000 0.5000 0.5000
Tm1 0.0000 0.0000 0.0000
Tm2 0.0000 0.3060 0.5000
Tm3 0.1789 0.3931 0.0000
```

***

Record 6
A plane-wave DFT calculation with PBE was carried out for crystalline Pr2Dy4Ho2Tm at its relaxed geometry.

Summary:
Formation energy in eV per atom: 0.091
Total DFT energy (no corrections) in eV per cell: -40.78

```
data_Pr2Dy4Ho2Tm
_chemical_formula_sum 'Pr2 Dy4 Ho2 Tm1'
_space_group_name_H-M_alt 'P -1'
_space_group_IT_number 2
_cell_length_a 6.0159
_cell_length_b 6.6699
_cell_length_c 8.5870
_cell_angle_alpha 79.17
_cell_angle_beta 69.83
_cell_angle_gamma 64.76
loop_
_space_group_symop_operation_xyz
'x,y,z'
'-x,-y,-z'
loop_
_atom_site_label
_atom_site_fract_x
_atom_site_fract_y
_atom_site_fract_z
Pr1 0.2336 0.3229 0.3408
Dy1 0.1076 0.1236 0.7691
Dy2 0.2440 0.5665 0.8838
Ho1 0.3222 0.7717 0.4463
Tm1 0.5000 0.0000 0.0000
```

***

Record 7
A plane-wave DFT calculation with PBE was carried out for crystalline YAg3 at its relaxed geometry.

Summary:
Formation energy in eV per atom: -0.090
Total DFT energy (no corrections) in eV per cell: -15.38

```
data_YAg3
_chemical_formula_sum 'Y1 Ag3'
_space_group_name_H-M_alt 'P 4/m m m'
_space_group_IT_number 123
_space_group_name_Hall '-P 4 2'
_cell_length_a 4.4995
_cell_length_b 4.4995
_cell_length_c 4.2299
_cell_angle_alpha 90.00
_cell_angle_beta 90.00
_cell_angle_gamma 90.00
loop_
_atom_site_label
_atom_site_fract_x
_atom_site_fract_y
_atom_site_fract_z
Y1 0.0000 0.0000 0.0000
Ag1 0.0000 0.5000 0.5000
Ag2 0.5000 0.5000 0.0000
```

***

Record 8
A plane-wave DFT calculation with PBE was carried out for crystalline MgNb2 at its relaxed geometry.

Summary:
Formation energy in eV per atom: 0.234
Total DFT energy (no corrections) in eV per cell: -42.06

```
data_MgNb2
_chemical_formula_sum 'Mg2 Nb4'
_space_group_name_H-M_alt 'C 1 2/m 1'
_space_group_IT_number 12
_cell_length_a 5.4483
_cell_length_b 2.7284
_cell_length_c 7.9566
_cell_angle_alpha 90.00
_cell_angle_beta 104.14
_cell_angle_gamma 90.00
loop_
_space_group_symop_operation_xyz
'x,y,z'
'-x,-y,-z'
'-x,y,-z'
'x,-y,z'
'x+1/2,y+1/2,z'
'-x+1/2,-y+1/2,-z'
'-x+1/2,y+1/2,-z'
'x+1/2,-y+1/2,z'
loop_
_atom_site_label
_atom_site_fract_x
_atom_site_fract_y
_atom_site_fract_z
Mg1 0.0000 0.0000 0.0000
Nb1 0.1730 0.0000 0.6650
```

***

Record 9
A plane-wave DFT calculation with PBE was carried out for crystalline Cs4CePm3Se8 at its relaxed geometry.

Summary:
Total DFT energy (no corrections) in eV per cell: -236.75

```
data_Cs4CePm3Se8
_chemical_formula_sum 'Cs12 Ce3 Pm9 Se24'
_space_group_name_H-M_alt 'R -3 m'
_space_group_IT_number 166
_space_group_name_Hall '-R 3 2"'
_cell_length_a 8.7878
_cell_length_b 8.7878
_cell_length_c 25.1647
_cell_angle_alpha 90.00
_cell_angle_beta 90.00
_cell_angle_gamma 120.00
loop_
_atom_site_label
_atom_site_fract_x
_atom_site_fract_y
_atom_site_fract_z
Cs1 0.0000 0.0000 0.0000
Cs2 0.0000 0.5000 0.0000
Ce1 0.0000 0.0000 0.5000
Pm1 0.0000 0.5000 0.5000
Se1 0.0000 0.0000 0.2297
Se2 0.0018 0.5009 0.7703
```

***

Record 10
A plane-wave DFT calculation with PBE was carried out for crystalline LaSb3Rh5 at its relaxed geometry.

Summary:
Total DFT energy (no corrections) in eV per cell: -236.60

```
data_LaSb3Rh5
_chemical_formula_sum 'La4 Sb12 Rh20'
_space_group_name_H-M_alt 'C m c m'
_space_group_IT_number 63
_space_group_name_Hall '-C 2c 2'
_cell_length_a 4.0632
_cell_length_b 13.6736
_cell_length_c 13.2716
_cell_angle_alpha 90.00
_cell_angle_beta 90.00
_cell_angle_gamma 90.00
loop_
_atom_site_label
_atom_site_fract_x
_atom_site_fract_y
_atom_site_fract_z
La1 0.0000 0.1167 0.2500
Sb1 0.0000 0.1240 0.7500
Sb2 0.0000 0.3786 0.5376
Rh1 0.0000 0.0000 0.0000
Rh2 0.0000 0.1957 0.5686
Rh3 0.0000 0.4578 0.1458
```

***

Record 11
A plane-wave DFT calculation with PBE was carried out for crystalline Pm6Th2Sc at its relaxed geometry.

Summary:
Formation energy in eV per atom: 0.055
Total DFT energy (no corrections) in eV per cell: -98.36

```
data_Pm6Th2Sc
_chemical_formula_sum 'Pm12 Th4 Sc2'
_space_group_name_H-M_alt 'C 1 2/m 1'
_space_group_IT_number 12
_cell_length_a 32.5203
_cell_length_b 5.0764
_cell_length_c 3.5944
_cell_angle_alpha 90.00
_cell_angle_beta 96.24
_cell_angle_gamma 90.00
loop_
_space_group_symop_operation_xyz
'x,y,z'
'-x,-y,-z'
'-x,y,-z'
'x,-y,z'
'x+1/2,y+1/2,z'
'-x+1/2,-y+1/2,-z'
'-x+1/2,y+1/2,-z'
'x+1/2,-y+1/2,z'
loop_
_atom_site_label
_atom_site_fract_x
_atom_site_fract_y
_atom_site_fract_z
Pm1 0.0530 0.0000 0.0532
Pm2 0.1105 0.5000 0.6103
Pm3 0.2208 0.5000 0.7194
Th1 0.1646 0.0000 0.1630
Sc1 0.0000 0.5000 0.5000
```

***

Record 12
A plane-wave DFT calculation with PBE was carried out for crystalline SnHOs2 at its relaxed geometry.

Summary:
Total DFT energy (no corrections) in eV per cell: -56.61

```
data_SnHOs2
_chemical_formula_sum 'Sn2 H2 Os4'
_space_group_name_H-M_alt 'C 1 m 1'
_space_group_IT_number 8
_cell_length_a 14.0169
_cell_length_b 2.8712
_cell_length_c 2.9011
_cell_angle_alpha 90.00
_cell_angle_beta 101.76
_cell_angle_gamma 90.00
loop_
_space_group_symop_operation_xyz
'x,y,z'
'x,-y,z'
'x+1/2,y+1/2,z'
'x+1/2,-y+1/2,z'
loop_
_atom_site_label
_atom_site_fract_x
_atom_site_fract_y
_atom_site_fract_z
Sn1 0.0000 0.0000 0.0000
H1 0.1246 0.5000 0.6265
Os1 0.2035 0.0000 0.7079
Os2 0.3213 0.5000 0.3241
```